No. 1
Entry from the Alexandria database: a relaxed structure of Pr8Ge3Cl4 (PBE).

POSCAR file:
```
Pr8Ge3Cl4
1.0
4.2491 2.4532 7.4818
-4.2491 2.4532 7.4818
0.0000 -4.9065 7.4818
Pr Ge Cl
8 3 4
Cartesian
-2.2075 -1.2745 12.8920
0.0000 0.0000 5.3509
0.0000 -2.5490 9.5533
-2.2075 1.2745 9.5533
2.2075 -1.2745 12.8920
0.0000 2.5490 12.8920
0.0000 0.0000 17.0945
2.2075 1.2745 9.5533
-4.2491 0.0000 11.2227
-2.1246 1.2266 3.7409
2.1246 1.2266 3.7409
0.0000 0.0000 0.0000
0.0000 0.0000 8.1091
0.0000 0.0000 11.2227
0.0000 0.0000 14.3362
```

Output
* energy relative to the elements, uncorrected: -24.9 kcal/mol of atoms
* mass density: 5.28 g/cm3



No. 2
Entry from the Alexandria database: a relaxed structure of Pr3GeCl3 (PBE).

POSCAR file:
```
Pr3GeCl3
1.0
-5.9370 5.9370 5.9370
5.9370 -5.9370 5.9370
5.9370 5.9370 -5.9370
Pr Ge Cl
12 4 12
Cartesian
1.5535 1.4843 -1.4150
7.3520 1.5535 -1.4843
1.4843 -1.4150 1.5535
4.5220 4.3835 -1.4843
4.3835 1.4843 1.4150
-1.4150 1.5535 1.4843
4.3835 -1.4843 4.5220
1.4843 1.4150 4.3835
1.4150 4.3835 1.4843
1.5535 -1.4843 7.3520
-1.4843 7.3520 1.5535
-1.4843 4.5220 4.3835
4.4528 1.4843 -1.4843
1.4843 1.4843 1.4843
1.4843 -1.4843 4.4528
-1.4843 4.4528 1.4843
4.4524 4.4528 7.4209
-1.4839 4.4524 7.4213
4.4528 7.4209 4.4524
7.4213 -1.4839 4.4524
7.4213 1.4839 1.4846
4.4524 7.4213 -1.4839
4.4528 4.4531 1.4846
4.4531 1.4846 4.4528
7.4209 4.4524 4.4528
1.4846 7.4213 1.4839
1.4846 4.4528 4.4531
1.4839 1.4846 7.4213
```

Output
* energy relative to the elements, uncorrected: -38.2 kcal/mol of atoms
* mass density: 4.77 g/cm3



No. 3
Entry from the Alexandria database: a relaxed structure of Pr2GeCl3 (PBE).

POSCAR file:
```
Pr2GeCl3
1.0
9.4710 -2.1000 0.0000
9.4710 2.1000 0.0000
-8.1550 0.0000 10.0712
Pr Ge Cl
4 2 6
Cartesian
-1.3857 0.0000 4.4927
5.6160 0.0000 1.7600
5.1710 0.0000 8.3111
12.1727 0.0000 5.5785
-3.8984 0.0000 6.2604
14.6853 0.0000 3.8108
3.1908 0.0000 0.1972
1.6606 0.0000 3.9514
2.3919 0.0000 7.5771
8.3951 0.0000 2.4941
9.1264 0.0000 6.1198
7.5962 0.0000 9.8739
```

Output
* energy relative to the elements, uncorrected: -38.2 kcal/mol of atoms
* mass density: 3.82 g/cm3



No. 4
Entry from the Alexandria database: a relaxed structure of Pr6GeCl8 (PBE).

POSCAR file:
```
Pr6GeCl8
1.0
3.6003 2.0786 10.1644
-3.6003 2.0786 10.1644
0.0000 -4.1573 10.1644
Pr Ge Cl
6 1 8
Cartesian
-1.1596 -2.1503 11.8151
-2.4420 -0.0709 18.6781
-1.2824 2.0794 11.8151
1.2824 -2.0794 18.6781
2.4420 0.0709 11.8150
1.1596 2.1503 18.6781
0.0000 0.0000 0.0000
-2.4071 0.0139 13.4867
-1.2156 -2.0777 17.0064
0.0000 0.0000 10.1652
1.1915 -2.0916 13.4867
-1.1916 2.0916 17.0064
0.0000 0.0000 20.3279
1.2156 2.0777 13.4867
2.4071 -0.0139 17.0064
```

Output
* energy relative to the elements, uncorrected: -40.0 kcal/mol of atoms
* mass density: 4.37 g/cm3



No. 5
Entry from the Alexandria database: a relaxed structure of Pr4Ge3Cl (PBE).

POSCAR file:
```
Pr4Ge3Cl
1.0
4.2905 -6.0713 0.0000
4.2905 6.0713 0.0000
0.0000 0.0000 4.3428
Pr Ge Cl
4 3 1
Cartesian
2.0466 0.0000 2.1714
4.2905 3.0447 0.0000
4.2905 -3.0447 0.0000
6.5343 0.0000 2.1714
0.0000 0.0000 0.0000
2.1452 3.0356 2.1714
2.1452 -3.0356 2.1714
4.2905 0.0000 0.0000
```

Output
* energy relative to the elements, uncorrected: -23.7 kcal/mol of atoms
* mass density: 6.00 g/cm3



No. 6
Entry from the Alexandria database: a relaxed structure of Pr3GeCl3 (PBE).

POSCAR file:
```
Pr3GeCl3
1.0
3.6249 2.0928 10.1929
-3.6249 2.0928 10.1929
0.0000 -4.1857 10.1929
Pr Ge Cl
6 2 6
Cartesian
-1.2211 -2.1154 13.5751
-2.4425 -0.0002 17.0036
-1.2214 2.1152 13.5751
1.2214 -2.1152 17.0036
2.4425 0.0002 13.5751
1.2211 2.1154 17.0036
0.0000 0.0000 5.0960
0.0000 0.0000 25.4827
-2.4345 -0.0008 11.9357
-1.2165 -2.1087 18.6430
1.2180 -2.1079 11.9357
-1.2180 2.1079 18.6430
1.2165 2.1087 11.9357
2.4345 0.0008 18.6430
```

Output
* energy relative to the elements, uncorrected: -36.4 kcal/mol of atoms
* mass density: 4.31 g/cm3



Number 1: volume 31.20 Å³/atom. Number 2: volume 29.90 Å³/atom. Number 3: volume 33.38 Å³/atom. Number 4: volume 30.43 Å³/atom. Number 5: volume 28.28 Å³/atom. Number 6: volume 33.14 Å³/atom.